Arrangement one

Below is BeMo2Au after structural relaxation, with properties calculated at the PBE-GGA level.

Lattice parameters (Å, degrees): 4.9058 4.9058 4.9058 141.40 125.11 69.10
Closest atoms and distances in Å follow each position.
Atoms (fractional coordinates):
Mo (0.2391, 0.7391, 0.5000)  2 Mo 2.57, 4 Be 2.78, 4 Au 2.83-2.84
Mo (0.9917, 0.9917, 0.0000)  2 Mo 2.57, 2 Be 2.59, 4 Au 2.80
Au (0.5279, 0.5279, 0.0000)  2 Be 2.37
Be (0.7413, 0.2413, 0.5000)  2 Au 2.37, 2 Mo 2.59

- Spin magnetization: 0.00 μB per formula unit
- Space group: Imm2, No. 44

=====

Arrangement two

Below is BeMo2Au after structural relaxation, with properties calculated at the PBE-GGA level.

Lattice parameters (Å, degrees): 4.1153 2.7839 5.2995 81.22 90.00 90.00
Closest atoms and distances in Å follow each position.
Atoms (fractional coordinates):
Mo (0.0000, 0.0154, 0.9808)  4 Mo 2.57-2.78, 4 Be 2.70-2.74, 3 Au 2.78-2.86
Mo (0.5000, 0.2315, 0.2314)  1 Be 2.50, 4 Mo 2.57-2.78
Be (0.5000, 0.5919, 0.7705)  2 Au 2.45, 5 Mo 2.50-2.74
Au (0.0000, 0.6611, 0.5173)  2 Be 2.45

- Spin magnetization: 0.00 μB per formula unit
- Space group: Pm, No. 6

=====

Energies in kJ/mol of atoms, measured from the most stable structure: arrangement one 7.0; arrangement two 0.0.